1.
DFT (PBE-GGA) results for a relaxed structure of Mn2FeS.

Unit cell a=5.0038 b=5.0038 c=9.6387 alpha=90.00 beta=90.00 gamma=90.00
With the nearest neighbours (Å) after each atom.
Space group I-42d (No. 122)
Inequivalent atoms, fractional coordinates:
1 Mn 0.2442 0.2500 0.1250 [8 per cell]  2 Fe 2.12, 2 S 2.16
2 Fe 0.0000 0.0000 0.0000 [4 per cell]  4 Mn 2.12
3 S 0.0000 0.0000 0.5000 [4 per cell]  4 Mn 2.16

Results
E_form (uncorrected)   0.515 eV per atom
DFT total energy   -7.217 eV per atom
Crystal system   tetragonal

---

2.
DFT (PBE-GGA) results for a relaxed structure of CrTeI2N.

Unit cell a=5.7735 b=5.7735 c=3.6493 alpha=90.00 beta=90.00 gamma=90.00
With the nearest neighbours (Å) after each atom.
Space group P4/mmm (No. 123)
Inequivalent atoms, fractional coordinates:
1 Cr 0.0000 0.0000 0.0000 [1 per cell]  2 N 1.82
2 Te 0.5000 0.5000 0.5000 [1 per cell]  8 I 3.42, 2 Te 3.65
3 I 0.0000 0.5000 0.0000 [2 per cell]  2 Cr 2.89
4 N 0.0000 0.0000 0.5000 [1 per cell]  2 Cr 1.82

Results
E_form (uncorrected)   0.328 eV per atom
Relative energy among the computed polymorphs   0.0 meV per atom
DFT total energy   -4.510 eV per atom
Crystal system   tetragonal

---

3.
DFT (PBE-GGA) results for a relaxed structure of DyMgAu6.

Unit cell a=9.3974 b=4.2385 c=8.5920 alpha=90.00 beta=117.12 gamma=90.00
With the nearest neighbours (Å) after each atom.
Space group C2/m (No. 12)
Inequivalent atoms, fractional coordinates:
1 Dy 0.0000 0.0000 0.0000 [2 per cell]  12 Au 3.00-3.06
2 Mg 0.0000 0.0000 0.5000 [2 per cell]  12 Au 2.93-2.97
3 Au 0.0010 0.5000 0.7431 [4 per cell]  8 Au 2.92-3.11, 2 Mg 2.97, 2 Dy 3.06
4 Au 0.2463 0.0000 0.8659 [4 per cell]  1 Mg 2.93, 8 Au 2.95-3.11, 3 Dy 3.00-3.02
5 Au 0.2489 0.5000 0.6188 [4 per cell]  8 Au 2.92-3.01, 3 Mg 2.97, 1 Dy 3.04

Results
Formation energy   -0.527 eV per atom
DFT total energy   -3.759 eV per atom
Crystal system   monoclinic